Ag5HgCl12 after structural relaxation. Source: Alexandria, functional PBE-GGA. Values from VASP.

Cell and atoms, written as Quantum ESPRESSO input:
```
&SYSTEM
  ibrav = 0, nat = 18, ntyp = 3
/
ATOMIC_SPECIES
Ag 107.87 Ag.upf
Hg 200.59 Hg.upf
Cl 35.45 Cl.upf
CELL_PARAMETERS angstrom
6.712 0.000 0.000
2.320 6.299 0.000
1.938 0.573 12.240
ATOMIC_POSITIONS crystal
Ag 0.000 0.000 0.000
Ag 0.166 0.666 0.500
Ag 0.334 0.333 0.999
Ag 0.666 0.667 0.001
Ag 0.834 0.334 0.500
Hg 0.500 0.000 0.500
Cl 0.082 0.292 0.883
Cl 0.159 0.380 0.388
Cl 0.171 0.936 0.620
Cl 0.252 0.041 0.116
Cl 0.415 0.626 0.884
Cl 0.478 0.712 0.380
Cl 0.522 0.288 0.620
Cl 0.585 0.374 0.116
Cl 0.748 0.959 0.884
Cl 0.829 0.064 0.380
Cl 0.841 0.620 0.612
Cl 0.918 0.708 0.117
```

Formation energy from raw total energies in eV/atom: -0.3593
Magnetic moment in μB/atom: 0.24